(1)
A relaxed AlTlHg crystal, computed with GGA-PBE.

The structure in CIF format:
```
data_AlTlHg
_symmetry_space_group_name_H-M 'P 1'
_symmetry_Int_Tables_number 1
_symmetry_space_group_name_Hall 'P 1'
_cell_length_a 5.2814
_cell_length_b 5.2814
_cell_length_c 6.2336
_cell_angle_alpha 90.00
_cell_angle_beta 90.00
_cell_angle_gamma 120.00
loop_
_atom_site_label
_atom_site_fract_x
_atom_site_fract_y
_atom_site_fract_z
Al1 0.3333 0.6667 0.2500
Al2 0.6667 0.3333 0.7500
Tl1 0.3333 0.6667 0.7500
Tl2 0.6667 0.3333 0.2500
Hg1 0.0000 0.0000 0.0000
Hg2 0.0000 0.0000 0.5000
```

Values from the calculation:
Space group: P6_3/mmc
Magnetic moment in Bohr magnetons per cell: 0.00

***

(2)
A relaxed LaRh2Pb crystal, computed with GGA-PBE.

The structure in CIF format:
```
data_LaRh2Pb
_symmetry_space_group_name_H-M 'P 1'
_symmetry_Int_Tables_number 1
_symmetry_space_group_name_Hall 'P 1'
_cell_length_a 3.6014
_cell_length_b 3.6014
_cell_length_c 6.5329
_cell_angle_alpha 90.00
_cell_angle_beta 90.00
_cell_angle_gamma 90.00
loop_
_atom_site_label
_atom_site_fract_x
_atom_site_fract_y
_atom_site_fract_z
La1 0.0000 0.0000 0.0000
Rh1 0.5000 0.5000 0.2637
Rh2 0.5000 0.5000 0.7363
Pb1 0.0000 0.0000 0.5000
```

Values from the calculation:
Space group: P4/mmm
Magnetic moment in Bohr magnetons per cell: 0.00

***

(3)
A relaxed PmErAlAu crystal, computed with GGA-PBE.

The structure in CIF format:
```
data_PmErAlAu
_symmetry_space_group_name_H-M 'P 1'
_symmetry_Int_Tables_number 1
_symmetry_space_group_name_Hall 'P 1'
_cell_length_a 4.5731
_cell_length_b 6.0428
_cell_length_c 6.0428
_cell_angle_alpha 36.63
_cell_angle_beta 90.00
_cell_angle_gamma 90.00
loop_
_atom_site_label
_atom_site_fract_x
_atom_site_fract_y
_atom_site_fract_z
Pm1 0.0000 0.0000 0.0000
Er1 0.5000 0.2990 0.2990
Al1 0.0000 0.7274 0.7274
Au1 0.5000 0.5850 0.5850
```

Values from the calculation:
Space group: Amm2
Excess energy over the best structure of this formula in the dataset in meV/atom: 0
Magnetic moment in Bohr magnetons per cell: 0.00

***

(4)
A relaxed NaY3Te4 crystal, computed with GGA-PBE.

The structure in CIF format:
```
data_NaY3Te4
_symmetry_space_group_name_H-M 'P 1'
_symmetry_Int_Tables_number 1
_symmetry_space_group_name_Hall 'P 1'
_cell_length_a 7.6100
_cell_length_b 7.6100
_cell_length_c 7.6100
_cell_angle_alpha 131.91
_cell_angle_beta 131.91
_cell_angle_gamma 70.37
loop_
_atom_site_label
_atom_site_fract_x
_atom_site_fract_y
_atom_site_fract_z
Na1 0.0000 0.0000 0.0000
Y1 0.2500 0.7500 0.5000
Y2 0.5000 0.5000 0.0000
Y3 0.7500 0.2500 0.5000
Te1 0.0000 0.5000 0.5000
Te2 0.2499 0.2499 0.0000
Te3 0.5000 0.0000 0.5000
Te4 0.7501 0.7501 0.0000
```

Values from the calculation:
ΔE_f (raw) in meV/atom: -1319.0
Space group: I4/mmm
Excess energy over the best structure of this formula in the dataset in meV/atom: 8
Magnetic moment in Bohr magnetons per cell: 0.00

***

(5)
A relaxed AlCuB crystal, computed with GGA-PBE.

The structure in CIF format:
```
data_AlCuB
_symmetry_space_group_name_H-M 'P 1'
_symmetry_Int_Tables_number 1
_symmetry_space_group_name_Hall 'P 1'
_cell_length_a 7.3926
_cell_length_b 7.3926
_cell_length_c 7.3926
_cell_angle_alpha 155.41
_cell_angle_beta 155.41
_cell_angle_gamma 35.06
loop_
_atom_site_label
_atom_site_fract_x
_atom_site_fract_y
_atom_site_fract_z
Al1 0.1041 0.1041 0.0000
Al2 0.8959 0.8959 0.0000
Cu1 0.2964 0.2964 0.0000
Cu2 0.7036 0.7036 0.0000
B1 0.4437 0.4437 0.0000
B2 0.5563 0.5563 0.0000
```

Values from the calculation:
Space group: I4/mmm
Magnetic moment in Bohr magnetons per cell: 0.00

***

(6)
A relaxed Mg2ReRh crystal, computed with GGA-PBE.

The structure in CIF format:
```
data_Mg2ReRh
_symmetry_space_group_name_H-M 'P 1'
_symmetry_Int_Tables_number 1
_symmetry_space_group_name_Hall 'P 1'
_cell_length_a 5.7324
_cell_length_b 5.7324
_cell_length_c 5.7324
_cell_angle_alpha 102.18
_cell_angle_beta 102.18
_cell_angle_gamma 125.32
loop_
_atom_site_label
_atom_site_fract_x
_atom_site_fract_y
_atom_site_fract_z
Mg1 0.1059 0.6250 0.9809
Mg2 0.3750 0.3559 0.4809
Mg3 0.6441 0.1250 0.0191
Mg4 0.8750 0.8941 0.5191
Re1 0.2500 0.7500 0.5000
Re2 0.5000 0.5000 0.0000
Rh1 0.0000 0.0000 0.0000
Rh2 0.7500 0.2500 0.5000
```

Values from the calculation:
Space group: I-42d
Excess energy over the best structure of this formula in the dataset in meV/atom: 707
Magnetic moment in Bohr magnetons per cell: 0.00

***

(7)
A relaxed Pr2AlGa2Rh5 crystal, computed with GGA-PBE.

The structure in CIF format:
```
data_Pr2AlGa2Rh5
_symmetry_space_group_name_H-M 'P 1'
_symmetry_Int_Tables_number 1
_symmetry_space_group_name_Hall 'P 1'
_cell_length_a 10.0244
_cell_length_b 10.0244
_cell_length_c 3.5078
_cell_angle_alpha 90.00
_cell_angle_beta 90.00
_cell_angle_gamma 90.00
loop_
_atom_site_label
_atom_site_fract_x
_atom_site_fract_y
_atom_site_fract_z
Pr1 0.1745 0.3255 0.0000
Pr2 0.3255 0.8255 0.0000
Pr3 0.6745 0.1745 0.0000
Pr4 0.8255 0.6745 0.0000
Al1 0.0000 0.0000 0.0000
Al2 0.5000 0.5000 0.0000
Ga1 0.1247 0.6247 0.0000
Ga2 0.3753 0.1247 0.0000
Ga3 0.6247 0.8753 0.0000
Ga4 0.8753 0.3753 0.0000
Rh1 0.0000 0.5000 0.5000
Rh2 0.0635 0.7983 0.5000
Rh3 0.2017 0.0635 0.5000
Rh4 0.2983 0.5635 0.5000
Rh5 0.4365 0.2983 0.5000
Rh6 0.5000 0.0000 0.5000
Rh7 0.5635 0.7017 0.5000
Rh8 0.7017 0.4365 0.5000
Rh9 0.7983 0.9365 0.5000
Rh10 0.9365 0.2017 0.5000
```

Values from the calculation:
Space group: P4/mbm
Magnetic moment in Bohr magnetons per cell: 0.00

***

(8)
A relaxed LaDy2PuBi4 crystal, computed with GGA-PBE.

The structure in CIF format:
```
data_LaDy2PuBi4
_symmetry_space_group_name_H-M 'P 1'
_symmetry_Int_Tables_number 1
_symmetry_space_group_name_Hall 'P 1'
_cell_length_a 7.8794
_cell_length_b 4.5591
_cell_length_c 7.8883
_cell_angle_alpha 90.00
_cell_angle_beta 109.49
_cell_angle_gamma 90.00
loop_
_atom_site_label
_atom_site_fract_x
_atom_site_fract_y
_atom_site_fract_z
La1 0.0000 0.0000 0.0000
Dy1 0.5000 0.0000 0.5000
Dy2 0.5000 0.5000 0.0000
Pu1 0.0000 0.5000 0.5000
Bi1 0.2567 0.0000 0.7478
Bi2 0.2599 0.5000 0.2577
Bi3 0.7401 0.5000 0.7423
Bi4 0.7433 0.0000 0.2522
```

Values from the calculation:
Space group: P2/m
Magnetic moment in Bohr magnetons per cell: 5.13

***

(9)
A relaxed KErIn2 crystal, computed with GGA-PBE.

The structure in CIF format:
```
data_KErIn2
_symmetry_space_group_name_H-M 'P 1'
_symmetry_Int_Tables_number 1
_symmetry_space_group_name_Hall 'P 1'
_cell_length_a 11.2003
_cell_length_b 11.2003
_cell_length_c 11.2003
_cell_angle_alpha 18.66
_cell_angle_beta 18.66
_cell_angle_gamma 18.66
loop_
_atom_site_label
_atom_site_fract_x
_atom_site_fract_y
_atom_site_fract_z
K1 0.0000 0.0000 0.0000
Er1 0.5000 0.5000 0.5000
In1 0.2422 0.2422 0.2422
In2 0.7578 0.7578 0.7578
```

Values from the calculation:
Space group: R-3m
Excess energy over the best structure of this formula in the dataset in meV/atom: 158
Magnetic moment in Bohr magnetons per cell: 0.00

***

(10)
A relaxed TmPtSe2 crystal, computed with GGA-PBE.

The structure in CIF format:
```
data_TmPtSe2
_symmetry_space_group_name_H-M 'P 1'
_symmetry_Int_Tables_number 1
_symmetry_space_group_name_Hall 'P 1'
_cell_length_a 8.5500
_cell_length_b 8.5500
_cell_length_c 8.5500
_cell_angle_alpha 25.53
_cell_angle_beta 25.53
_cell_angle_gamma 25.53
loop_
_atom_site_label
_atom_site_fract_x
_atom_site_fract_y
_atom_site_fract_z
Tm1 0.0000 0.0000 0.0000
Pt1 0.5000 0.5000 0.5000
Se1 0.1127 0.1127 0.1127
Se2 0.8873 0.8873 0.8873
```

Values from the calculation:
ΔE_f (raw) in meV/atom: -353.6
Space group: R-3m
Magnetic moment in Bohr magnetons per cell: 0.00

***

(11)
A relaxed Pu2PaAl9 crystal, computed with GGA-PBE.

The structure in CIF format:
```
data_Pu2PaAl9
_symmetry_space_group_name_H-M 'P 1'
_symmetry_Int_Tables_number 1
_symmetry_space_group_name_Hall 'P 1'
_cell_length_a 9.3321
_cell_length_b 9.3321
_cell_length_c 9.3321
_cell_angle_alpha 34.28
_cell_angle_beta 34.28
_cell_angle_gamma 34.28
loop_
_atom_site_label
_atom_site_fract_x
_atom_site_fract_y
_atom_site_fract_z
Pu1 0.1421 0.1421 0.1421
Pu2 0.8579 0.8579 0.8579
Pa1 0.0000 0.0000 0.0000
Al1 0.0766 0.5852 0.5852
Al2 0.3345 0.3345 0.3345
Al3 0.4148 0.4148 0.9234
Al4 0.4148 0.9234 0.4148
Al5 0.5000 0.5000 0.5000
Al6 0.5852 0.0766 0.5852
Al7 0.5852 0.5852 0.0766
Al8 0.6656 0.6656 0.6656
Al9 0.9234 0.4148 0.4148
```

Values from the calculation:
Space group: R-3m
Magnetic moment in Bohr magnetons per cell: 10.97

***

| no. | total DFT energy (no corrections) (eV/atom) |
| --- | --- |
| 1 | -1.87 |
| 2 | -6.15 |
| 3 | -4.67 |
| 4 | -5.48 |
| 5 | -4.63 |
| 6 | -5.11 |
| 7 | -6.34 |
| 8 | -6.26 |
| 9 | -2.85 |
| 10 | -4.72 |
| 11 | -6.23 |